## CsMnGaF6 (PBE+U)

Data for a relaxed CsMnGaF6 crystal.

Computed properties:
- final energy (eV for the cell shown) = -94.94
- space group = Imma (74)

a = 7.576 Å, b = 7.548 Å, c = 7.537 Å
α = 120.05°, β = 120.17°, γ = 90.00°
Each line ends with the local moment (μB).
Positions (direct):
F  0.556  0.339  0.755  0.02
Ga  0.500  0.000  0.000  0.01
F  0.802  0.085  0.245  0.02
Cs  0.873  0.623  0.746  0.00
Mn  0.000  0.000  0.500  4.70
F  0.165  0.915  0.330  0.04
F  0.802  0.661  0.245  0.02
Cs  0.127  0.377  0.254  0.00
F  0.198  0.339  0.755  0.02
Ga  0.500  0.500  0.000  0.01
Mn  0.500  0.000  0.500  4.70
F  0.198  0.915  0.755  0.02
F  0.835  0.085  0.670  0.04
F  0.550  0.300  0.099  0.00
F  0.556  0.915  0.755  0.02
F  0.450  0.700  0.901  0.00
F  0.444  0.661  0.245  0.02
F  0.444  0.085  0.245  0.02